Below is a geometry-optimized InReNO2 structure, with properties calculated at the PBE-GGA level.

## Properties
Volume in Å³/cell: 62.5
Total magnetization in μB/cell: 0.0
Formation energy (no corrections) in eV/atom: -0.60

a = 3.9461 Å, b = 3.9461 Å, c = 4.0125 Å
α = 90.00°, β = 90.00°, γ = 90.00°
Fractional positions:
Re  0.0000  0.0000  0.0000
N  0.0000  0.0000  0.5000
O  0.0000  0.5000  0.0000
O  0.5000  0.0000  0.0000
In  0.5000  0.5000  0.5000

=====

Below is a geometry-optimized InReN2O structure, with properties calculated at the PBE-GGA level.

## Properties
Volume in Å³/cell: 70.9
Total magnetization in μB/cell: 2.3
Formation energy (no corrections) in eV/atom: 1.88

a = 4.1970 Å, b = 4.1970 Å, c = 4.0277 Å
α = 90.00°, β = 90.00°, γ = 90.00°
Site moments in Bohr magnetons follow the coordinates.
Fractional positions:
Re  0.5000  0.5000  0.5000  3.46
N  0.0000  0.5000  0.0000  -0.56
N  0.5000  0.0000  0.0000  -0.56
O  0.0000  0.0000  0.5000  -0.14
In  0.0000  0.0000  0.0000  -0.03

=====

Below is a geometry-optimized InReNO2 structure, with properties calculated at the PBE-GGA level.

## Properties
Volume in Å³/cell: 70.7
Total magnetization in μB/cell: 3.1
Formation energy (no corrections) in eV/atom: 1.13

a = 4.0692 Å, b = 4.0692 Å, c = 4.2701 Å
α = 90.00°, β = 90.00°, γ = 90.00°
Site moments in Bohr magnetons follow the coordinates.
Fractional positions:
Re  0.5000  0.5000  0.5000  3.55
N  0.0000  0.0000  0.5000  -0.54
O  0.0000  0.5000  0.0000  -0.09
O  0.5000  0.0000  0.0000  -0.09
In  0.0000  0.0000  0.0000  -0.03